# 1
A plane-wave DFT calculation with GGA-PBE was carried out for a relaxed structure of PuHg6.

Lattice parameters (Å, degrees): 8.479 8.479 8.479 35.48 35.48 35.48
Positions (direct):
Pu (0.000, 0.000, 0.000)
Hg (0.137, 0.137, 0.137)
Hg (0.265, 0.265, 0.265)
Hg (0.398, 0.398, 0.398)
Hg (0.602, 0.602, 0.602)
Hg (0.735, 0.735, 0.735)
Hg (0.863, 0.863, 0.863)

Excess energy over the best structure of this formula in the dataset   0 meV per atom
Theoretical density   13.10 Mg/m³
Formation energy   -0.06 eV/atom



# 2
A plane-wave DFT calculation with GGA-PBE was carried out for a relaxed structure of Cd4Pt15Rh.

Lattice parameters (Å, degrees): 4.001 4.001 20.303 90.00 90.00 90.00
Positions (direct):
Cd (0.000, 0.000, 0.101)
Cd (0.000, 0.000, 0.303)
Cd (0.000, 0.000, 0.697)
Cd (0.000, 0.000, 0.899)
Pt (0.000, 0.500, 0.000)
Pt (0.000, 0.500, 0.202)
Pt (0.000, 0.500, 0.405)
Pt (0.000, 0.500, 0.595)
Pt (0.000, 0.500, 0.798)
Pt (0.500, 0.000, 0.000)
Pt (0.500, 0.000, 0.202)
Pt (0.500, 0.000, 0.405)
Pt (0.500, 0.000, 0.595)
Pt (0.500, 0.000, 0.798)
Pt (0.500, 0.500, 0.101)
Pt (0.500, 0.500, 0.303)
Pt (0.500, 0.500, 0.500)
Pt (0.500, 0.500, 0.697)
Pt (0.500, 0.500, 0.899)
Rh (0.000, 0.000, 0.500)

Theoretical density   17.77 Mg/m³
Formation energy   -0.15 eV/atom



# 3
A plane-wave DFT calculation with GGA-PBE was carried out for a relaxed structure of NpSbPd3.

Lattice parameters (Å, degrees): 5.845 5.845 8.323 110.95 110.95 47.75
Positions (direct):
Np (0.056, 0.056, 0.372)
Np (0.944, 0.944, 0.628)
Sb (0.398, 0.398, 0.106)
Sb (0.602, 0.602, 0.894)
Pd (0.138, 0.138, 0.068)
Pd (0.303, 0.303, 0.721)
Pd (0.354, 0.354, 0.404)
Pd (0.646, 0.646, 0.596)
Pd (0.697, 0.697, 0.279)
Pd (0.862, 0.862, 0.932)

Raw formation energy   -0.33 eV/atom
Excess energy over the best structure of this formula in the dataset   0 meV per atom
Theoretical density   11.62 Mg/m³



# 4
A plane-wave DFT calculation with GGA-PBE was carried out for a relaxed structure of Sm2InAu6.

Lattice parameters (Å, degrees): 8.390 8.390 5.239 99.08 99.08 142.64
Positions (direct):
Sm (0.157, 0.843, 0.000)
Sm (0.843, 0.157, 0.000)
In (0.000, 0.000, 0.500)
Au (0.168, 0.510, 0.675)
Au (0.371, 0.371, 0.188)
Au (0.490, 0.832, 0.325)
Au (0.510, 0.168, 0.675)
Au (0.629, 0.629, 0.812)
Au (0.832, 0.490, 0.325)

Excess energy over the best structure of this formula in the dataset   0 meV per atom
Theoretical density   13.62 Mg/m³
Formation energy   -0.58 eV/atom



# 5
A plane-wave DFT calculation with GGA-PBE was carried out for a relaxed structure of Ag2OsI.

Lattice parameters (Å, degrees): 4.916 4.916 4.916 60.00 60.00 60.00
Positions (direct):
Ag (0.250, 0.250, 0.250)
Ag (0.750, 0.750, 0.750)
Os (0.000, 0.000, 0.000)
I (0.500, 0.500, 0.500)

Raw formation energy   1.40 eV/atom
Excess energy over the best structure of this formula in the dataset   226 meV per atom
Theoretical density   10.53 Mg/m³



# 6
A plane-wave DFT calculation with GGA-PBE was carried out for a relaxed structure of NaCa2Hg3.

Lattice parameters (Å, degrees): 5.324 5.324 13.046 90.00 90.00 120.00
Positions (direct):
Na (0.333, 0.667, 0.169)
Na (0.667, 0.333, 0.831)
Ca (0.000, 0.000, 0.000)
Ca (0.000, 0.000, 0.500)
Ca (0.333, 0.667, 0.670)
Ca (0.667, 0.333, 0.330)
Hg (0.000, 0.000, 0.249)
Hg (0.000, 0.000, 0.751)
Hg (0.333, 0.667, 0.420)
Hg (0.333, 0.667, 0.919)
Hg (0.667, 0.333, 0.081)
Hg (0.667, 0.333, 0.580)

Theoretical density   7.31 Mg/m³
Formation energy   -0.43 eV/atom



# 7
A plane-wave DFT calculation with GGA-PBE was carried out for a relaxed structure of P2PdSeO.

Lattice parameters (Å, degrees): 4.843 4.843 3.590 90.00 90.00 90.00
Positions (direct):
P (0.000, 0.500, 0.000)
P (0.500, 0.000, 0.000)
Pd (0.000, 0.000, 0.500)
Se (0.500, 0.500, 0.000)
O (0.500, 0.500, 0.500)

Raw formation energy   0.60 eV/atom
Excess energy over the best structure of this formula in the dataset   54 meV per atom
Theoretical density   5.19 Mg/m³



# 8
A plane-wave DFT calculation with GGA-PBE was carried out for a relaxed structure of DySi2Pt2.

Lattice parameters (Å, degrees): 4.203 4.203 9.841 90.00 90.00 90.00
Positions (direct):
Dy (0.250, 0.250, 0.247)
Dy (0.750, 0.750, 0.753)
Si (0.250, 0.250, 0.634)
Si (0.250, 0.750, 0.000)
Si (0.750, 0.250, 0.000)
Si (0.750, 0.750, 0.366)
Pt (0.250, 0.250, 0.876)
Pt (0.250, 0.750, 0.500)
Pt (0.750, 0.250, 0.500)
Pt (0.750, 0.750, 0.124)

Raw formation energy   -1.09 eV/atom
Theoretical density   11.63 Mg/m³